# 1
Compound: NaNiW2
Source: Alexandria via LeMat-Bulk
Functional: PBE
Structure: relaxed

**Density of states at the Fermi level**: 1.20 states/eV/atom
**ΔE_f**: 28.456 kcal/mol of atoms

Geometry as POSCAR:
```
NaNiW2
1.0
-1.851 1.851 9.923
1.851 -1.851 9.923
1.851 1.851 -9.923
Na Ni W
2 2 4
Direct
0.000 0.000 0.000 Na
0.750 0.250 0.500 Na
0.250 0.750 0.500 Ni
0.500 0.500 0.000 Ni
0.142 0.625 0.017 W
0.375 0.392 0.517 W
0.608 0.125 0.983 W
0.875 0.858 0.483 W
```

***

# 2
Compound: Na3NiW
Source: Alexandria via LeMat-Bulk
Functional: PBE
Structure: relaxed

**Density of states at the Fermi level**: 1.56 states/eV/atom
**ΔE_f**: 46.888 kcal/mol of atoms
**E above lowest polymorph**: 373.8 meV per atom

Geometry as POSCAR:
```
Na3NiW
1.0
5.826 0.000 0.000
0.000 5.826 0.000
0.000 0.000 5.826
Na Ni W
3 1 1
Direct
0.000 0.000 0.500 Na
0.000 0.500 0.000 Na
0.500 0.000 0.000 Na
0.500 0.500 0.500 Ni
0.000 0.000 0.000 W
```

***

# 3
Compound: Na2YNi
Source: Alexandria via LeMat-Bulk
Functional: PBE
Structure: relaxed

**Density of states at the Fermi level**: 0.58 states/eV/atom
**ΔE_f**: 5.866 kcal/mol of atoms

Geometry as POSCAR:
```
Na2YNi
1.0
-2.000 2.000 12.069
2.000 -2.000 12.069
2.000 2.000 -12.069
Na Y Ni
4 2 2
Direct
0.099 0.625 0.974 Na
0.375 0.349 0.474 Na
0.651 0.125 0.026 Na
0.875 0.901 0.526 Na
0.250 0.750 0.500 Y
0.500 0.500 0.000 Y
0.000 0.000 0.000 Ni
0.750 0.250 0.500 Ni
```

***

# 4
Compound: NaY3Ni
Source: Alexandria via LeMat-Bulk
Functional: PBE
Structure: relaxed

**Density of states at the Fermi level**: 2.08 states/eV/atom
**ΔE_f**: 29.525 kcal/mol of atoms
**E above lowest polymorph**: 1265.0 meV per atom

Geometry as POSCAR:
```
NaY3Ni
1.0
5.420 0.000 0.000
0.000 5.420 0.000
0.000 0.000 5.420
Na Y Ni
1 3 1
Direct
0.000 0.000 0.000 Na
0.000 0.000 0.500 Y
0.000 0.500 0.000 Y
0.500 0.000 0.000 Y
0.500 0.500 0.500 Ni
```

***

# 5
Compound: NaY3Ni
Source: Alexandria via LeMat-Bulk
Functional: PBE
Structure: relaxed

**Density of states at the Fermi level**: 1.64 states/eV/atom
**ΔE_f**: 0.353 kcal/mol of atoms
**E above lowest polymorph**: 0.0 meV per atom

Geometry as POSCAR:
```
NaY3Ni
1.0
5.370 0.000 0.000
0.000 5.370 0.000
0.000 0.000 5.370
Na Y Ni
1 3 1
Direct
0.000 0.000 0.000 Na
0.000 0.500 0.500 Y
0.500 0.000 0.500 Y
0.500 0.500 0.000 Y
0.500 0.500 0.500 Ni
```

***

# 6
Compound: NaYNi3
Source: Alexandria via LeMat-Bulk
Functional: PBE
Structure: relaxed

**Density of states at the Fermi level**: 0.35 states/eV/atom
**ΔE_f**: 18.665 kcal/mol of atoms
**E above lowest polymorph**: 0.0 meV per atom

Geometry as POSCAR:
```
NaYNi3
1.0
4.448 0.000 0.000
0.000 4.448 0.000
0.000 0.000 4.448
Na Y Ni
1 1 3
Direct
0.000 0.000 0.000 Na
0.500 0.500 0.500 Y
0.000 0.000 0.500 Ni
0.000 0.500 0.000 Ni
0.500 0.000 0.000 Ni
```

***

# 7
Compound: NaY2Ni2
Source: Alexandria via LeMat-Bulk
Functional: PBE
Structure: relaxed

**Density of states at the Fermi level**: 0.56 states/eV/atom
**ΔE_f**: -1.065 kcal/mol of atoms
**E above lowest polymorph**: 129.0 meV per atom

Geometry as POSCAR:
```
NaY2Ni2
1.0
8.100 0.000 0.000
0.000 8.100 0.000
0.000 0.000 3.291
Na Y Ni
2 4 4
Direct
0.000 0.000 0.000 Na
0.500 0.500 0.000 Na
0.147 0.353 0.000 Y
0.353 0.853 0.000 Y
0.647 0.147 0.000 Y
0.853 0.647 0.000 Y
0.138 0.638 0.500 Ni
0.362 0.138 0.500 Ni
0.638 0.862 0.500 Ni
0.862 0.362 0.500 Ni
```

***

# 8
Compound: NaY2Ni2
Source: Alexandria via LeMat-Bulk
Functional: PBE
Structure: relaxed

**Density of states at the Fermi level**: 0.71 states/eV/atom
**ΔE_f**: -4.041 kcal/mol of atoms
**E above lowest polymorph**: 0.0 meV per atom

Geometry as POSCAR:
```
NaY2Ni2
1.0
7.703 0.000 0.000
0.000 7.703 0.000
0.000 0.000 3.617
Na Y Ni
2 4 4
Direct
0.000 0.000 0.000 Na
0.500 0.500 0.000 Na
0.163 0.337 0.500 Y
0.337 0.837 0.500 Y
0.663 0.163 0.500 Y
0.837 0.663 0.500 Y
0.120 0.620 0.000 Ni
0.380 0.120 0.000 Ni
0.620 0.880 0.000 Ni
0.880 0.380 0.000 Ni
```